(1)
Material: GaPW4C2
Method: DFT, PBE-GGA
State: relaxed

a b c (Å): 3.1473 3.1473 12.3406
angles (deg): 90.00 90.00 120.00
Closest atoms and distances in Å follow each position.
Atoms (fractional coordinates):
P 0.6667 0.3333 0.0000  6 W 2.54
W 0.3333 0.6667 0.1436  3 C 2.18
W 0.6667 0.3333 0.6722  3 C 2.11
W 0.6667 0.3333 0.3278  3 C 2.11
W 0.3333 0.6667 0.8564  3 C 2.18
Ga 0.3333 0.6667 0.5000  6 W 2.80
C 0.0000 0.0000 0.2407  6 W 2.11-2.18
C 0.0000 0.0000 0.7593  6 W 2.11-2.18

Space group: P-6m2 (187)
Electronic total energy in eV per cell: -78.16

---

(2)
Material: Zr4GaPC2
Method: DFT, PBE-GGA
State: relaxed

a b c (Å): 3.4032 3.4032 13.1833
angles (deg): 90.00 90.00 120.00
Closest atoms and distances in Å follow each position.
Atoms (fractional coordinates):
C 0.6667 0.3333 0.7630  6 Zr 2.32-2.36
C 0.6667 0.3333 0.2370  6 Zr 2.32-2.36
Zr 0.0000 0.0000 0.1374  3 C 2.36
Zr 0.3333 0.6667 0.3309  3 C 2.32
Zr 0.3333 0.6667 0.6691  3 C 2.32
Zr 0.0000 0.0000 0.8626  3 C 2.36
Ga 0.0000 0.0000 0.5000  6 Zr 2.97
P 0.3333 0.6667 0.0000  6 Zr 2.67

Space group: P-6m2 (187)
Electronic total energy in eV per cell: -68.17